1.
# GGA-PBE InSb2As, optimized geometry
data_InSb2As
_cell_length_a 6.243
_cell_length_b 6.243
_cell_length_c 6.243
_cell_angle_alpha 144.87
_cell_angle_beta 131.51
_cell_angle_gamma 61.27
_symmetry_space_group_name_H-M 'P 1'
_symmetry_Int_Tables_number 1
_symmetry_space_group_name_Hall 'P 1'
loop_
_atom_site_label
_atom_site_fract_x
_atom_site_fract_y
_atom_site_fract_z
_atom_site_occupancy
In1 0.000 0.000 0.000 1
Sb1 0.290 0.790 0.500 1
Sb2 0.710 0.210 0.500 1
As1 0.500 0.500 0.000 1
# Calculated total energy: -3.755 eV/atom
# D(E_F): 2.5 states/eV/cell
# Energy above the most stable polymorph in this dataset: 123.2 meV/atom
# Uncorrected formation energy: 0.6 eV/f.u.



2.
# GGA-PBE InSb2As, optimized geometry
data_InSb2As
_cell_length_a 5.203
_cell_length_b 5.203
_cell_length_c 5.203
_cell_angle_alpha 60.00
_cell_angle_beta 60.00
_cell_angle_gamma 60.00
_symmetry_space_group_name_H-M 'P 1'
_symmetry_Int_Tables_number 1
_symmetry_space_group_name_Hall 'P 1'
loop_
_atom_site_label
_atom_site_fract_x
_atom_site_fract_y
_atom_site_fract_z
_atom_site_occupancy
In1 0.000 0.000 0.000 1
Sb1 0.250 0.250 0.250 1
Sb2 0.750 0.750 0.750 1
As1 0.500 0.500 0.500 1
# Calculated total energy: -3.652 eV/atom
# D(E_F): 2.6 states/eV/cell
# Energy above the most stable polymorph in this dataset: 225.7 meV/atom
# Uncorrected formation energy: 1.0 eV/f.u.